Record 1
Here is TlIn2GaHg4 after structural relaxation from Alexandria. Energies are from PBE.

Summary:
**E_tot**: -1.4734 eV per atom
**Spin magnetization**: 0.000 μB per formula unit

Cell lengths 3.423, 8.080, 8.040 Å; angles 82.16, 90.00, 90.00 degrees
Sites, in units of the cell vectors:
Tl1 0.500 0.500 0.000
In1 0.000 0.000 0.000
In2 0.500 0.000 0.500
Ga1 0.000 0.500 0.500
Hg1 0.000 0.748 0.735
Hg2 0.000 0.252 0.265
Hg3 0.500 0.741 0.267
Hg4 0.500 0.259 0.733

=====

Record 2
Here is La4SmTe7 after structural relaxation from Alexandria. Energies are from PBE.

Summary:
**E_tot**: -5.4201 eV per atom
**Raw formation energy**: -1552 meV/atom
**Spin magnetization**: 0.000 μB per formula unit

Cell lengths 4.440, 7.800, 13.560 Å; angles 104.16, 90.00, 106.54 degrees
Sites, in units of the cell vectors:
La1 0.700 0.399 0.808
La2 0.301 0.602 0.191
La3 0.000 0.000 0.998
La4 0.114 0.228 0.427
Sm1 0.885 0.770 0.576
Te1 0.742 0.483 0.353
Te2 0.265 0.530 0.651
Te3 0.338 0.677 0.950
Te4 0.661 0.322 0.050
Te5 0.037 0.075 0.779
Te6 0.962 0.923 0.217
Te7 0.496 0.991 0.501

=====

Record 3
Here is CeTmU after structural relaxation from Alexandria. Energies are from PBE.

Summary:
**Distance to the lowest polymorph of the same formula**: 90.9 meV/atom
**E_tot**: -6.9492 eV per atom
**Spin magnetization**: 1.379 μB per formula unit

Cell lengths 3.130, 3.130, 8.139 Å; angles 101.09, 101.09, 90.00 degrees
Site moments in Bohr magnetons follow the coordinates.
Sites, in units of the cell vectors:
Tm1 0.009 0.009 0.019  -0.07
U1 0.669 0.669 0.338  1.45
Ce1 0.322 0.322 0.644  -0.05

=====

Record 4
Here is Cr2SnGe2 after structural relaxation from Alexandria. Energies are from PBE.

Summary:
**Distance to the lowest polymorph of the same formula**: 37.1 meV/atom
**E_tot**: -6.2266 eV per atom
**Spin magnetization**: 5.368 μB per formula unit

Cell lengths 4.373, 4.373, 5.814 Å; angles 67.91, 67.91, 90.00 degrees
Site moments in Bohr magnetons follow the coordinates.
Sites, in units of the cell vectors:
Cr1 0.750 0.250 0.500  2.58
Cr2 0.250 0.750 0.500  2.58
Ge1 0.373 0.373 0.254  -0.09
Ge2 0.627 0.627 0.746  -0.09
Sn1 0.000 0.000 0.000  0.01

=====

Record 5
Here is LiTlRu2 after structural relaxation from Alexandria. Energies are from PBE.

Summary:
**Distance to the lowest polymorph of the same formula**: 192.4 meV/atom
**E_tot**: -5.2851 eV per atom
**Spin magnetization**: 1.782 μB per formula unit

Cell lengths 4.353, 3.813, 3.813 Å; angles 90.00, 90.00, 90.00 degrees
Site moments in Bohr magnetons follow the coordinates.
Sites, in units of the cell vectors:
Li1 0.500 0.000 0.500  -0.02
Ru1 0.000 0.000 0.000  0.89
Ru2 0.000 0.500 0.500  0.89
Tl1 0.500 0.500 0.000  -0.02

=====

Record 6
Here is La8ErIn2 after structural relaxation from Alexandria. Energies are from PBE.

Summary:
**Distance to the lowest polymorph of the same formula**: 21.1 meV/atom
**E_tot**: -4.6140 eV per atom
**Spin magnetization**: 0.000 μB per formula unit

Cell lengths 6.300, 10.183, 10.183 Å; angles 39.91, 66.17, 66.17 degrees
Sites, in units of the cell vectors:
La1 0.245 0.092 0.562
La2 0.245 0.562 0.092
La3 0.755 0.908 0.438
La4 0.262 0.500 0.500
La5 0.755 0.438 0.908
La6 0.307 0.130 0.130
La7 0.693 0.870 0.870
La8 0.738 0.500 0.500
Er1 0.000 0.000 0.000
In1 0.759 0.320 0.320
In2 0.241 0.680 0.680